A plane-wave DFT calculation with PBE-GGA was carried out for a relaxed KSr2Ga2 crystal.

E, eV per cell: -11.2
Magnetization, μB/f.u.: 0.0
Space-group type: I4/mmm (139)
Energy above the lowest structure with this stoichiometry, meV/atom: 50
DFT formation energy, eV per atom: -0.141

Structure (POSCAR):
```
KSr2Ga2
1.0
-3.020 3.020 5.105
3.020 -3.020 5.105
3.020 3.020 -5.105
K Sr Ga
1 2 2
direct
0.000 0.000 0.000
0.250 0.750 0.500
0.750 0.250 0.500
0.380 0.380 0.000
0.620 0.620 0.000
```